A plane-wave DFT calculation with PBE was carried out for a geometry-optimized FeIr2Br structure.

The structure in POSCAR format:
```
FeIr2Br
1.0
-0.407 4.229 -1.325
-4.374 -0.164 0.804
2.896 -1.060 3.209
Br Fe Ir
1 1 2
Direct
0.500 0.500 0.000
0.750 0.250 0.500
0.000 0.000 0.000
0.250 0.750 0.500
```

The formation energy from raw total energies is 0.956 eV per atom. Its energy above the most stable polymorph in this dataset is 457.9 meV per atom. For the density of states at the Fermi level, the calculation gives 1.15 states/eV/atom. The volume comes out at 15.57 A^3/atom.


A plane-wave DFT calculation with PBE was carried out for a geometry-optimized FeIr2Br structure.

The structure in POSCAR format:
```
FeIr2Br
1.0
2.714 0.036 0.000
-1.275 2.396 0.000
0.000 0.000 11.526
Br Fe Ir
1 1 2
Direct
0.500 0.500 0.250
0.500 0.500 0.750
0.000 0.000 0.929
0.000 0.000 0.571
```

The formation energy from raw total energies is 0.588 eV per atom. Its energy above the most stable polymorph in this dataset is 89.7 meV per atom. For the density of states at the Fermi level, the calculation gives 1.26 states/eV/atom. The volume comes out at 18.87 A^3/atom.


What is the formation energy from raw total energies in the second record? 0.588 eV per atom


Please write out number 1 again, unchanged.
A plane-wave DFT calculation with PBE was carried out for a geometry-optimized FeIr2Br structure.

The structure in POSCAR format:
```
FeIr2Br
1.0
-0.407 4.229 -1.325
-4.374 -0.164 0.804
2.896 -1.060 3.209
Br Fe Ir
1 1 2
Direct
0.500 0.500 0.000
0.750 0.250 0.500
0.000 0.000 0.000
0.250 0.750 0.500
```

The formation energy from raw total energies is 0.956 eV per atom. Its energy above the most stable polymorph in this dataset is 457.9 meV per atom. For the density of states at the Fermi level, the calculation gives 1.15 states/eV/atom. The volume comes out at 15.57 A^3/atom.


The lowest formation energy from raw total energies belongs to which entry? number 2


Look up the density of states at the Fermi level of the second one. 1.26 states/eV/atom